# 1
! PBE ScS2NCl, optimized geometry; values from VASP
&SYSTEM
  ibrav = 0, nat = 5, ntyp = 4
/
ATOMIC_SPECIES
Sc 44.96 Sc.upf
S 32.06 S.upf
N 14.01 N.upf
Cl 35.45 Cl.upf
ATOMIC_POSITIONS crystal
Sc 0.0000 0.0000 0.0000
S 0.0000 0.5000 0.0000
S 0.5000 0.0000 0.0000
N 0.0000 0.0000 0.5000
Cl 0.5000 0.5000 0.5000
CELL_PARAMETERS angstrom
5.0227 0.0000 0.0000
0.0000 5.0227 0.0000
0.0000 0.0000 4.1092
! Fermi-level density of states = 6.729 states/eV/cell
! raw formation energy = 0.47 eV per atom
! calculated volume = 20.73 Å³/atom
! calculated total energy = -4.479 eV/atom
! SG = P4/mmm

# 2
! PBE Na2MnNbAl, optimized geometry; values from VASP
&SYSTEM
  ibrav = 0, nat = 5, ntyp = 4
/
ATOMIC_SPECIES
Na 22.99 Na.upf
Mn 54.94 Mn.upf
Nb 92.91 Nb.upf
Al 26.98 Al.upf
ATOMIC_POSITIONS crystal
Na 0.0000 0.5000 0.0000
Na 0.5000 0.0000 0.0000
Mn 0.0000 0.0000 0.0000
Nb 0.5000 0.5000 0.5000
Al 0.0000 0.0000 0.5000
CELL_PARAMETERS angstrom
4.9016 0.0000 0.0000
0.0000 4.9016 0.0000
0.0000 0.0000 4.8273
! Fermi-level density of states = 2.765 states/eV/cell
! calculated volume = 23.20 Å³/atom
! calculated total energy = -3.729 eV/atom
! SG = P4/mmm
! formation enthalpy at 0 K = 673 kJ/mol of formula units

# 3
! PBE RbMoPb3, optimized geometry; values from VASP
&SYSTEM
  ibrav = 0, nat = 5, ntyp = 3
/
ATOMIC_SPECIES
Rb 85.47 Rb.upf
Mo 95.94 Mo.upf
Pb 207.20 Pb.upf
ATOMIC_POSITIONS crystal
Rb 0.0000 0.0000 0.0000
Mo 0.5000 0.5000 0.5000
Pb 0.0000 0.5000 0.5000
Pb 0.5000 0.0000 0.5000
Pb 0.5000 0.5000 0.0000
CELL_PARAMETERS angstrom
5.5102 0.0000 0.0000
0.0000 5.5102 0.0000
0.0000 0.0000 5.5102
! Fermi-level density of states = 3.516 states/eV/cell
! calculated volume = 33.46 Å³/atom
! calculated total energy = -4.335 eV/atom
! SG = Pm-3m
! formation enthalpy at 0 K = 121 kJ/mol of formula units

# 4
! PBE Zr4PRu, optimized geometry; values from VASP
&SYSTEM
  ibrav = 0, nat = 6, ntyp = 3
/
ATOMIC_SPECIES
Zr 91.22 Zr.upf
P 30.97 P.upf
Ru 101.07 Ru.upf
ATOMIC_POSITIONS crystal
Zr 0.3757 0.3757 0.3757
Zr 0.3757 0.3757 0.8728
Zr 0.3757 0.8728 0.3757
Zr 0.8728 0.3757 0.3757
P 0.0000 0.0000 0.0000
Ru 0.7500 0.7500 0.7500
CELL_PARAMETERS angstrom
0.0000 3.9170 3.9170
3.9170 0.0000 3.9170
3.9170 3.9170 0.0000
! Fermi-level density of states = 7.626 states/eV/cell
! calculated volume = 20.03 Å³/atom
! calculated total energy = -7.642 eV/atom
! SG = F-43m
! formation enthalpy at 0 K = 292 kJ/mol of formula units

# 5
! PBE Na2BRuO4, optimized geometry; values from VASP
&SYSTEM
  ibrav = 0, nat = 8, ntyp = 4
/
ATOMIC_SPECIES
Na 22.99 Na.upf
B 10.81 B.upf
Ru 101.07 Ru.upf
O 16.00 O.upf
ATOMIC_POSITIONS crystal
Na 0.0000 0.0000 0.0000
Na 0.7500 0.2500 0.5000
B 0.5000 0.5000 0.0000
Ru 0.2500 0.7500 0.5000
O 0.2211 0.5260 0.0518
O 0.4742 0.1694 0.9482
O 0.4740 0.5258 0.6952
O 0.8306 0.7789 0.3048
CELL_PARAMETERS angstrom
-2.7622 2.7622 2.9537
2.7622 -2.7622 2.9537
2.7622 2.7622 -2.9537
! Fermi-level density of states = 0.673 states/eV/cell
! raw formation energy = -1.46 eV per atom
! calculated volume = 11.27 Å³/atom
! calculated total energy = -6.263 eV/atom
! SG = I-4

# 6
! PBE Tl2AsPd3, optimized geometry; values from VASP
&SYSTEM
  ibrav = 0, nat = 12, ntyp = 3
/
ATOMIC_SPECIES
Tl 204.38 Tl.upf
As 74.92 As.upf
Pd 106.42 Pd.upf
ATOMIC_POSITIONS crystal
Tl 0.0760 0.9240 0.7500
Tl 0.2294 0.7706 0.2500
Tl 0.7706 0.2294 0.7500
Tl 0.9240 0.0760 0.2500
As 0.3846 0.6154 0.7500
As 0.6154 0.3846 0.2500
Pd 0.0000 0.5000 0.5000
Pd 0.2739 0.3740 0.0181
Pd 0.3740 0.2739 0.5181
Pd 0.5000 0.0000 0.0000
Pd 0.6260 0.7261 0.4819
Pd 0.7261 0.6260 0.9819
CELL_PARAMETERS angstrom
3.8591 -6.3494 0.0000
3.8591 6.3494 0.0000
-2.1536 0.0000 5.0234
! Fermi-level density of states = 4.752 states/eV/cell
! calculated volume = 20.51 Å³/atom
! calculated total energy = -4.299 eV/atom
! SG = C2/c
! formation enthalpy at 0 K = -80 kJ/mol of formula units

# 7
! PBE Dy2InHg3, optimized geometry; values from VASP
&SYSTEM
  ibrav = 0, nat = 12, ntyp = 3
/
ATOMIC_SPECIES
Dy 162.50 Dy.upf
In 114.82 In.upf
Hg 200.59 Hg.upf
ATOMIC_POSITIONS crystal
Dy 0.2462 0.7538 0.7538
Dy 0.2500 0.2500 0.2500
Dy 0.7500 0.7500 0.7500
Dy 0.7538 0.2462 0.2462
In 0.3329 0.3329 0.6671
In 0.6671 0.6671 0.3329
Hg 0.1666 0.1666 0.8334
Hg 0.1682 0.6650 0.3350
Hg 0.3350 0.8318 0.1682
Hg 0.6650 0.1682 0.8318
Hg 0.8318 0.3350 0.6650
Hg 0.8334 0.8334 0.1666
CELL_PARAMETERS angstrom
0.0000 4.9628 8.5556
3.4756 0.0000 8.5556
3.4756 4.9628 0.0000
! Fermi-level density of states = 8.060 states/eV/cell
! calculated volume = 24.60 Å³/atom
! calculated total energy = -2.535 eV/atom
! SG = Fmmm
! formation enthalpy at 0 K = -228 kJ/mol of formula units

# 8
! PBE LiTbSm, optimized geometry; values from VASP
&SYSTEM
  ibrav = 0, nat = 3, ntyp = 3
/
ATOMIC_SPECIES
Li 6.94 Li.upf
Tb 158.93 Tb.upf
Sm 150.36 Sm.upf
ATOMIC_POSITIONS crystal
Li 0.0000 0.0000 0.0000
Tb 0.6667 0.3333 0.3269
Sm 0.3333 0.6667 0.6677
CELL_PARAMETERS angstrom
3.5144 0.0000 0.0000
-1.7572 3.0436 0.0000
0.0000 0.0000 8.3850
! Fermi-level density of states = 3.252 states/eV/cell
! calculated volume = 29.90 Å³/atom
! calculated total energy = -3.650 eV/atom
! SG = P3m1
! formation enthalpy at 0 K = 30 kJ/mol of formula units

# 9
! PBE Cd12PdAu6, optimized geometry; values from VASP
&SYSTEM
  ibrav = 0, nat = 19, ntyp = 3
/
ATOMIC_SPECIES
Cd 112.41 Cd.upf
Pd 106.42 Pd.upf
Au 196.97 Au.upf
ATOMIC_POSITIONS crystal
Cd 0.0386 0.3165 0.9165
Cd 0.0835 0.9614 0.6835
Cd 0.1807 0.5943 0.4519
Cd 0.3165 0.9165 0.0386
Cd 0.4057 0.5481 0.8193
Cd 0.4519 0.1807 0.5943
Cd 0.5481 0.8193 0.4057
Cd 0.5943 0.4519 0.1807
Cd 0.6835 0.0835 0.9614
Cd 0.8193 0.4057 0.5481
Cd 0.9165 0.0386 0.3165
Cd 0.9614 0.6835 0.0835
Pd 0.0000 0.0000 0.0000
Au 0.1378 0.2909 0.5851
Au 0.2909 0.5851 0.1378
Au 0.4149 0.8622 0.7091
Au 0.5851 0.1378 0.2909
Au 0.7091 0.4149 0.8622
Au 0.8622 0.7091 0.4149
CELL_PARAMETERS angstrom
6.1323 3.5405 3.7606
-6.1323 3.5405 3.7606
0.0000 -7.0810 3.7606
! Fermi-level density of states = 6.340 states/eV/cell
! calculated volume = 25.78 Å³/atom
! calculated total energy = -1.956 eV/atom
! SG = R-3
! formation enthalpy at 0 K = -128 kJ/mol of formula units

# 10
! PBE Pm3Er2Ir2, optimized geometry; values from VASP
&SYSTEM
  ibrav = 0, nat = 7, ntyp = 3
/
ATOMIC_SPECIES
Pm 145.00 Pm.upf
Er 167.26 Er.upf
Ir 192.22 Ir.upf
ATOMIC_POSITIONS crystal
Pm 0.0000 0.0000 0.0000
Pm 0.1165 0.1165 0.4287
Pm 0.8835 0.8835 0.5713
Er 0.3291 0.3291 0.1857
Er 0.6709 0.6709 0.8143
Ir 0.3153 0.3153 0.7673
Ir 0.6847 0.6847 0.2327
CELL_PARAMETERS angstrom
6.0944 -1.9631 0.0000
6.0944 1.9631 0.0000
-3.6843 0.0000 7.9972
! Fermi-level density of states = 5.451 states/eV/cell
! calculated volume = 27.34 Å³/atom
! calculated total energy = -6.429 eV/atom
! SG = C2/m
! formation enthalpy at 0 K = -377 kJ/mol of formula units